A plane-wave DFT calculation with PBE-GGA was carried out for crystalline CsSnPd3 at its relaxed geometry.

a b c (Å): 5.1844 5.1844 5.1844
angles (deg): 90.00 90.00 90.00
Element x y z (fractional)
Pd  0.0000  0.5000  0.0000
Sn  0.0000  0.0000  0.0000
Pd  0.0000  0.0000  0.5000
Cs  0.5000  0.5000  0.5000
Pd  0.5000  0.0000  0.0000

Results
Its crystal system is cubic. The volume is 27.87 A^3/atom. The energy above the most stable polymorph in this dataset is 0 meV/atom. Its formation energy from the elements is 160 meV per atom. The calculation puts the density at 6.80 g cm⁻³.